Entry 1:
Entry from the Open Quantum Materials Database: a geometry-optimized Gd2Zn2AgAu3 structure (GGA-PBE).

Cell lengths 4.8961, 4.8627, 6.8405 Å; angles 90.00, 90.19, 90.00 degrees
Atoms (fractional coordinates):
Gd: 0.0000 0.0000 0.0000
Gd: 0.4660 0.5000 0.4902
Zn: 0.4795 0.5000 0.9917
Zn: 0.9886 0.0000 0.4986
Ag: 0.5002 0.0000 0.7466
Au: 0.5008 0.0000 0.2432
Au: 0.9657 0.5000 0.2469
Au: 0.9676 0.5000 0.7436

Calculated values
Formation enthalpy at 0 K in eV/atom: -0.54

=====

Entry 2:
Entry from the Open Quantum Materials Database: a geometry-optimized TaB4Pt structure (GGA-PBE).

Cell lengths 3.0527, 3.0527, 7.0628 Å; angles 90.00, 90.00, 120.00 degrees
Atoms (fractional coordinates):
Ta: 0.0000 0.0000 0.0000
B: 0.3333 0.6667 0.2382
B: 0.3333 0.6667 0.7618
B: 0.6667 0.3333 0.2382
B: 0.6667 0.3333 0.7618
Pt: 0.0000 0.0000 0.5000

Calculated values
Raw total energy in eV/atom: -7.545

=====

Entry 3:
Entry from the Open Quantum Materials Database: a geometry-optimized SmGdP2Os2O2 structure (GGA-PBE).

Cell lengths 4.0154, 4.0154, 8.0588 Å; angles 90.00, 90.00, 90.00 degrees
Atoms (fractional coordinates):
Sm: 0.0000 0.0000 0.0000
Gd: 0.5000 0.5000 0.2767
P: 0.0000 0.0000 0.4858
P: 0.5000 0.5000 0.7892
Os: 0.0000 0.5000 0.6373
Os: 0.5000 0.0000 0.6373
O: 0.0000 0.5000 0.1422
O: 0.5000 0.0000 0.1422

Calculated values
Raw total energy in eV/atom: -8.436

=====

Entry 4:
Entry from the Open Quantum Materials Database: a geometry-optimized KRe3As5 structure (GGA-PBE).

Cell lengths 5.4380, 5.4380, 8.2778 Å; angles 90.00, 90.00, 120.00 degrees
Atoms (fractional coordinates):
K: 0.0000 0.0000 0.0000
Re: 0.0000 0.5000 0.5000
Re: 0.5000 0.0000 0.5000
Re: 0.5000 0.5000 0.5000
As: 0.0000 0.0000 0.5000
As: 0.3333 0.6667 0.2490
As: 0.3333 0.6667 0.7510
As: 0.6667 0.3333 0.2490
As: 0.6667 0.3333 0.7510

Calculated values
Raw total energy in eV/atom: -6.645

=====

Entry 5:
Entry from the Open Quantum Materials Database: a geometry-optimized LiCuSbOs structure (GGA-PBE).

Cell lengths 6.1926, 6.1926, 6.1926 Å; angles 90.00, 90.00, 90.00 degrees
Atoms (fractional coordinates):
Li: 0.0000 0.0000 0.0000
Li: 0.0000 0.5000 0.5000
Li: 0.5000 0.0000 0.5000
Li: 0.5000 0.5000 0.0000
Cu: 0.2500 0.2500 0.7500
Cu: 0.2500 0.7500 0.2500
Cu: 0.7500 0.2500 0.2500
Cu: 0.7500 0.7500 0.7500
Sb: 0.0000 0.0000 0.5000
Sb: 0.0000 0.5000 0.0000
Sb: 0.5000 0.0000 0.0000
Sb: 0.5000 0.5000 0.5000
Os: 0.2500 0.2500 0.2500
Os: 0.2500 0.7500 0.7500
Os: 0.7500 0.2500 0.7500
Os: 0.7500 0.7500 0.2500

Calculated values
Raw total energy in eV/atom: -5.058

=====

Entry 6:
Entry from the Open Quantum Materials Database: a geometry-optimized Ba2TlOsS6 structure (GGA-PBE).

Cell lengths 7.0881, 7.0881, 7.0881 Å; angles 60.00, 60.00, 60.00 degrees
Atoms (fractional coordinates):
Ba: 0.2500 0.2500 0.2500
Ba: 0.7500 0.7500 0.7500
Tl: 0.0000 0.0000 0.0000
Os: 0.5000 0.5000 0.5000
S: 0.2646 0.2646 0.7354
S: 0.2646 0.7354 0.2646
S: 0.2646 0.7354 0.7354
S: 0.7354 0.2646 0.2646
S: 0.7354 0.2646 0.7354
S: 0.7354 0.7354 0.2646

Calculated values
Raw total energy in eV/atom: -4.873

=====

Repeat the first record exactly.
Entry from the Open Quantum Materials Database: a geometry-optimized Gd2Zn2AgAu3 structure (GGA-PBE).

Cell lengths 4.8961, 4.8627, 6.8405 Å; angles 90.00, 90.19, 90.00 degrees
Atoms (fractional coordinates):
Gd: 0.0000 0.0000 0.0000
Gd: 0.4660 0.5000 0.4902
Zn: 0.4795 0.5000 0.9917
Zn: 0.9886 0.0000 0.4986
Ag: 0.5002 0.0000 0.7466
Au: 0.5008 0.0000 0.2432
Au: 0.9657 0.5000 0.2469
Au: 0.9676 0.5000 0.7436

Calculated values
Formation enthalpy at 0 K in eV/atom: -0.54